1.
Here is crystalline Zn5Br2N2 at its relaxed geometry from Alexandria via LeMat-Bulk. Energies are from PBE. Values from VASP.

- E_form (uncorrected): -71 meV per atom

Structure (Quantum ESPRESSO input):
```
&SYSTEM
  ibrav = 0, nat = 9, ntyp = 3
/
ATOMIC_SPECIES
N 14.01 N.upf
Zn 65.41 Zn.upf
Br 79.90 Br.upf
CELL_PARAMETERS angstrom
-1.449 1.660 2.844
-3.109 -0.088 -3.808
-2.967 -11.083 4.958
ATOMIC_POSITIONS angstrom
N -3.583 -9.652 3.809
Zn -2.544 -0.878 -0.784
N -3.942 0.142 0.185
Zn -1.096 -2.392 0.838
Zn 0.000 0.000 0.000
Br -4.893 -6.557 1.335
Br -2.632 -2.954 2.659
Zn -4.981 -8.633 4.778
Zn -6.429 -7.118 3.156
```

2.
Here is crystalline ZnBrN3 at its relaxed geometry from Alexandria via LeMat-Bulk. Energies are from PBE. Values from VASP.

- E_form (uncorrected): 2389 meV per atom

Structure (Quantum ESPRESSO input):
```
&SYSTEM
  ibrav = 0, nat = 5, ntyp = 3
/
ATOMIC_SPECIES
N 14.01 N.upf
Br 79.90 Br.upf
Zn 65.41 Zn.upf
CELL_PARAMETERS angstrom
4.054 0.000 0.000
0.000 4.054 0.000
0.000 0.000 4.054
ATOMIC_POSITIONS angstrom
N 2.027 0.000 0.000
N 0.000 0.000 2.027
Br 2.027 2.027 2.027
N 0.000 2.027 0.000
Zn 0.000 0.000 0.000
```

3.
Here is crystalline Zn4BrN2 at its relaxed geometry from Alexandria via LeMat-Bulk. Energies are from PBE. Values from VASP.

- E_form (uncorrected): 130 meV per atom

Structure (Quantum ESPRESSO input):
```
&SYSTEM
  ibrav = 0, nat = 28, ntyp = 3
/
ATOMIC_SPECIES
Br 79.90 Br.upf
Zn 65.41 Zn.upf
N 14.01 N.upf
CELL_PARAMETERS angstrom
5.098 0.000 0.000
0.000 6.256 0.000
0.000 0.000 18.051
ATOMIC_POSITIONS angstrom
Br 4.615 1.564 14.507
Zn 3.691 0.143 16.324
Zn 3.704 4.692 0.434
Zn 1.407 6.113 1.726
N 0.000 3.128 0.000
Zn 3.956 0.143 7.299
Zn 1.407 3.271 1.726
N 2.549 3.128 9.025
Zn 1.142 3.271 10.752
Zn 3.691 2.985 16.324
Zn 4.025 1.564 0.748
Zn 1.395 1.564 17.616
Zn 1.073 4.692 17.302
Zn 1.154 1.564 8.591
Br 3.032 1.564 5.482
N 2.290 1.564 1.506
N 2.809 4.692 16.545
Zn 3.944 4.692 9.460
N 2.549 0.000 9.025
Zn 3.956 2.985 7.299
Br 2.066 4.692 12.569
Zn 1.142 6.113 10.752
Zn 1.476 4.692 8.277
N 0.000 0.000 0.000
N 4.839 4.692 7.519
Br 0.483 4.692 3.543
Zn 3.622 1.564 9.774
N 0.260 1.564 10.532
```

4.
Here is crystalline ZnBr2N at its relaxed geometry from Alexandria via LeMat-Bulk. Energies are from PBE. Values from VASP.

- E_form (uncorrected): 697 meV per atom
- Polymorph energy (0 for the lowest one): 0.000 kcal/mol of atoms

Structure (Quantum ESPRESSO input):
```
&SYSTEM
  ibrav = 0, nat = 8, ntyp = 3
/
ATOMIC_SPECIES
N 14.01 N.upf
Zn 65.41 Zn.upf
Br 79.90 Br.upf
CELL_PARAMETERS angstrom
3.786 0.000 0.000
0.001 6.437 -1.483
-0.001 -0.161 9.295
ATOMIC_POSITIONS angstrom
N 1.053 2.220 -0.003
Zn 2.944 2.116 4.624
Zn 1.051 5.335 3.873
Br 2.944 3.934 2.673
Br 1.051 3.519 5.824
Br 2.944 0.298 6.565
N 2.946 5.411 -0.796
Br 1.051 0.717 3.416
```